1.
Compound: RbCuSnSe3
Source: the Open Quantum Materials Database
Functional: PBE
Structure: relaxed

abc: 11.863 3.959 14.778
angles: 90.00 90.00 90.00
Fractional positions:
Rb: 0.220 0.250 0.004
Rb: 0.280 0.750 0.504
Rb: 0.720 0.250 0.496
Rb: 0.780 0.750 0.996
Cu: 0.214 0.750 0.221
Cu: 0.286 0.250 0.721
Cu: 0.714 0.750 0.279
Cu: 0.786 0.250 0.779
Sn: 0.063 0.750 0.761
Sn: 0.437 0.250 0.261
Sn: 0.563 0.750 0.739
Sn: 0.937 0.250 0.239
Se: 0.039 0.750 0.137
Se: 0.096 0.250 0.635
Se: 0.230 0.250 0.320
Se: 0.270 0.750 0.820
Se: 0.404 0.750 0.135
Se: 0.461 0.250 0.637
Se: 0.539 0.750 0.363
Se: 0.596 0.250 0.865
Se: 0.730 0.250 0.180
Se: 0.770 0.750 0.680
Se: 0.904 0.750 0.365
Se: 0.961 0.250 0.863

- excess energy over the best structure of this formula in the dataset (meV/atom) = 48
- crystal system = orthorhombic
- space-group type = Pnma, No. 62

---

2.
Compound: CdH12C2N2Cl4
Source: the Open Quantum Materials Database
Functional: PBE
Structure: relaxed

abc: 10.308 10.308 7.391
angles: 90.00 90.00 137.58
Fractional positions:
Cd: 0.000 0.000 0.000
Cd: 0.500 0.500 0.500
H: 0.024 0.198 0.530
H: 0.092 0.668 0.516
H: 0.111 0.889 0.663
H: 0.168 0.592 0.016
H: 0.189 0.811 0.314
H: 0.198 0.024 0.470
H: 0.302 0.476 0.970
H: 0.311 0.689 0.814
H: 0.332 0.908 0.516
H: 0.389 0.611 0.163
H: 0.408 0.832 0.016
H: 0.476 0.302 0.030
H: 0.524 0.698 0.970
H: 0.592 0.168 0.984
H: 0.611 0.389 0.837
H: 0.668 0.092 0.484
H: 0.689 0.311 0.186
H: 0.698 0.524 0.030
H: 0.802 0.976 0.530
H: 0.811 0.189 0.686
H: 0.832 0.408 0.984
H: 0.889 0.111 0.337
H: 0.908 0.332 0.484
H: 0.976 0.802 0.470
C: 0.187 0.813 0.462
C: 0.313 0.687 0.962
C: 0.687 0.313 0.038
C: 0.813 0.187 0.538
N: 0.113 0.887 0.521
N: 0.387 0.613 0.021
N: 0.613 0.387 0.979
N: 0.887 0.113 0.479
Cl: 0.132 0.868 0.943
Cl: 0.228 0.272 0.750
Cl: 0.272 0.228 0.250
Cl: 0.368 0.632 0.443
Cl: 0.632 0.368 0.557
Cl: 0.728 0.772 0.750
Cl: 0.772 0.728 0.250
Cl: 0.868 0.132 0.057

- excess energy over the best structure of this formula in the dataset (meV/atom) = 4
- crystal system = orthorhombic
- space-group type = Cmce, No. 64

---

3.
Compound: RbLuTe
Source: the Open Quantum Materials Database
Functional: PBE
Structure: relaxed

abc: 5.540 5.540 5.540
angles: 60.00 60.00 60.00
Fractional positions:
Rb: 0.000 0.000 0.000
Lu: 0.500 0.500 0.500
Te: 0.750 0.750 0.750

- excess energy over the best structure of this formula in the dataset (meV/atom) = 0
- crystal system = cubic
- space-group type = F-43m, No. 216

---

4.
Compound: KLiTePt
Source: the Open Quantum Materials Database
Functional: PBE
Structure: relaxed

abc: 4.961 4.961 4.961
angles: 60.00 60.00 60.00
Fractional positions:
K: 0.000 0.000 0.000
Li: 0.750 0.750 0.750
Te: 0.500 0.500 0.500
Pt: 0.250 0.250 0.250

- excess energy over the best structure of this formula in the dataset (meV/atom) = 0
- crystal system = cubic
- space-group type = F-43m, No. 216

---

5.
Compound: Tm2Br
Source: the Open Quantum Materials Database
Functional: PBE
Structure: relaxed

abc: 6.518 6.518 6.518
angles: 60.00 60.00 60.00
Fractional positions:
Tm: 0.000 0.000 0.000
Tm: 0.000 0.000 0.500
Tm: 0.000 0.500 0.000
Tm: 0.500 0.000 0.000
Br: 0.375 0.375 0.375
Br: 0.625 0.625 0.625

- excess energy over the best structure of this formula in the dataset (meV/atom) = 179
- crystal system = cubic
- space-group type = Fd-3m, No. 227

---

6.
Compound: Er2Tm5Lu
Source: the Open Quantum Materials Database
Functional: PBE
Structure: relaxed

abc: 5.507 7.087 7.087
angles: 60.00 90.00 90.00
Fractional positions:
Er: 0.000 0.000 0.000
Er: 0.500 0.334 0.334
Tm: 0.000 0.000 0.501
Tm: 0.000 0.501 0.000
Tm: 0.500 0.334 0.833
Tm: 0.500 0.833 0.334
Tm: 0.500 0.833 0.833
Lu: 0.000 0.500 0.500

- crystal system = orthorhombic
- energy of formation (meV per atom) = 0
- space-group type = Amm2, No. 38

---

7.
Compound: AlMoIr2
Source: the Open Quantum Materials Database
Functional: PBE
Structure: relaxed

abc: 4.383 4.383 4.383
angles: 60.00 60.00 60.00
Fractional positions:
Al: 0.000 0.000 0.000
Mo: 0.250 0.250 0.250
Ir: 0.500 0.500 0.500
Ir: 0.750 0.750 0.750

- crystal system = cubic
- space-group type = F-43m, No. 216
- final energy (eV per atom) = -8.209

---

8.
Compound: Cu5Ag
Source: the Open Quantum Materials Database
Functional: PBE
Structure: relaxed

abc: 2.656 2.656 12.731
angles: 90.00 90.00 120.00
Fractional positions:
Cu: 0.000 0.000 0.000
Cu: 0.333 0.667 0.319
Cu: 0.333 0.667 0.840
Cu: 0.667 0.333 0.160
Cu: 0.667 0.333 0.681
Ag: 0.000 0.000 0.500

- crystal system = trigonal
- energy of formation (meV per atom) = 77
- space-group type = P-3m1, No. 164

---

9.
Compound: LuAlSn
Source: the Open Quantum Materials Database
Functional: PBE
Structure: relaxed

abc: 4.774 4.774 4.774
angles: 60.00 60.00 60.00
Fractional positions:
Lu: 0.000 0.000 0.000
Al: 0.250 0.250 0.250
Sn: 0.500 0.500 0.500

- crystal system = cubic
- space-group type = F-43m, No. 216
- final energy (eV per atom) = -4.160

---

10.
Compound: SmInCoS3
Source: the Open Quantum Materials Database
Functional: PBE
Structure: relaxed

abc: 7.123 7.123 10.652
angles: 90.00 90.00 148.11
Fractional positions:
Sm: 0.000 0.000 0.000
Sm: 0.000 0.000 0.500
In: 0.248 0.752 0.750
In: 0.752 0.248 0.250
Co: 0.476 0.524 0.250
Co: 0.524 0.476 0.750
S: 0.067 0.933 0.250
S: 0.372 0.628 0.085
S: 0.372 0.628 0.415
S: 0.628 0.372 0.585
S: 0.628 0.372 0.915
S: 0.933 0.067 0.750

- crystal system = orthorhombic
- space-group type = Cmcm, No. 63
- final energy (eV per atom) = -5.416

---

11.
Compound: TlFeWAu
Source: the Open Quantum Materials Database
Functional: PBE
Structure: relaxed

abc: 4.604 4.604 4.604
angles: 60.00 60.00 60.00
Fractional positions:
Tl: 0.000 0.000 0.000
Fe: 0.250 0.250 0.250
W: 0.500 0.500 0.500
Au: 0.750 0.750 0.750

- excess energy over the best structure of this formula in the dataset (meV/atom) = 0
- crystal system = cubic
- space-group type = F-43m, No. 216

---

12.
Compound: LaCd2As2
Source: the Open Quantum Materials Database
Functional: PBE
Structure: relaxed

abc: 5.770 10.326 4.257
angles: 90.00 90.00 90.00
Fractional positions:
La: 0.000 0.000 0.000
La: 0.500 0.500 0.000
Cd: 0.249 0.247 0.500
Cd: 0.251 0.747 0.500
Cd: 0.749 0.253 0.500
Cd: 0.751 0.753 0.500
As: 0.001 0.379 0.000
As: 0.499 0.879 0.000
As: 0.501 0.121 0.000
As: 0.999 0.621 0.000

- crystal system = orthorhombic
- space-group type = Pbam, No. 55
- final energy (eV per atom) = -3.579

---

Copy entry 7 word for word.
Compound: AlMoIr2
Source: the Open Quantum Materials Database
Functional: PBE
Structure: relaxed

abc: 4.383 4.383 4.383
angles: 60.00 60.00 60.00
Fractional positions:
Al: 0.000 0.000 0.000
Mo: 0.250 0.250 0.250
Ir: 0.500 0.500 0.500
Ir: 0.750 0.750 0.750

- crystal system = cubic
- space-group type = F-43m, No. 216
- final energy (eV per atom) = -8.209